[1]
The following is a GGA-PBE calculation of a relaxed structure of MoPt2Pb, from Alexandria via LeMat-Bulk.

Output
The total magnetization comes out at 0.00 μB/cell. Its energy of formation from the pure elements is -0.048 eV per atom. The crystal system is tetragonal.

Cell: 2.952 2.952 8.524 Å, 90.00 90.00 89.97°
Positions (direct):
Mo  0.500  0.500  0.250
Pb  0.500  0.500  0.750
Pt  0.000  0.000  0.041
Pt  0.000  0.000  0.459



[2]
The following is a GGA-PBE calculation of a relaxed structure of Ti4SiSnH, from Alexandria via LeMat-Bulk.

Output
The total magnetization comes out at 0.00 μB/cell. Its energy is -6.80 eV/atom. The crystal system is orthorhombic.

Cell: 5.361 5.393 7.806 Å, 90.00 110.08 90.00°
Positions (direct):
Ti  0.935  0.250  0.869
Ti  0.421  0.750  0.841
Ti  0.065  0.750  0.131
Ti  0.579  0.250  0.159
Ti  0.500  0.500  0.500
Ti  0.000  0.000  0.500
Ti  0.500  0.000  0.500
Ti  0.000  0.500  0.500
Si  0.115  0.250  0.231
Si  0.885  0.750  0.769
Sn  0.608  0.750  0.215
Sn  0.392  0.250  0.785
H  0.286  0.750  0.572
H  0.714  0.250  0.428